Material: Pr2Dy8Sc3
Method: DFT, PBE
State: relaxed

- crystal system = triclinic

Lattice parameters (Å, degrees): 6.0861 6.0711 11.0610 79.56 89.92 99.51
Element x y z (fractional)
Dy  0.1606  0.9239  0.2973
Dy  0.6922  0.1533  0.3762
Dy  0.3775  0.3072  0.7816
Dy  0.0834  0.4583  0.1462
Dy  0.3078  0.8467  0.6238
Dy  0.8394  0.0761  0.7027
Dy  0.9166  0.5417  0.8538
Dy  0.6225  0.6928  0.2184
Sc  0.0000  0.0000  0.0000
Sc  0.5395  0.2260  0.0727
Sc  0.4605  0.7740  0.9273
Pr  0.7694  0.6165  0.5395
Pr  0.2306  0.3835  0.4605

---

Material: PrDy2Sc
Method: DFT, PBE
State: relaxed

- crystal system = tetragonal

Lattice parameters (Å, degrees): 3.5331 3.5331 9.9005 90.00 90.00 90.00
Element x y z (fractional)
Dy  0.0000  0.0000  0.2328
Dy  0.0000  0.0000  0.7672
Pr  0.5000  0.5000  0.5000
Sc  0.5000  0.5000  0.0000

---

Material: PrDy4Sc2
Method: DFT, PBE
State: relaxed

- crystal system = triclinic

Lattice parameters (Å, degrees): 8.3978 9.2068 6.9451 112.08 101.99 111.61
Element x y z (fractional)
Dy  0.3827  0.0814  0.8373
Dy  0.2482  0.6112  0.0674
Dy  0.6688  0.9165  0.5680
Dy  0.9311  0.7377  0.8031
Dy  0.5183  0.4766  0.8199
Dy  0.9377  0.7484  0.3072
Dy  0.3836  0.0770  0.3353
Dy  0.7989  0.3371  0.3218
Pr  0.2613  0.6253  0.5815
Pr  0.0691  0.2006  0.0730
Sc  0.5215  0.4813  0.3200
Sc  0.0636  0.2047  0.5693
Sc  0.8011  0.3421  0.8199
Sc  0.6641  0.9103  0.0763

---

Material: Pr4Dy3Sc2
Method: DFT, PBE
State: relaxed

- crystal system = monoclinic

Lattice parameters (Å, degrees): 3.6127 6.6386 14.3093 63.79 90.00 105.79
Element x y z (fractional)
Sc  0.6618  0.3236  0.7925
Sc  0.3382  0.6764  0.2075
Pr  0.1066  0.2132  0.6146
Pr  0.6525  0.3049  0.1278
Pr  0.3475  0.6951  0.8722
Pr  0.8934  0.7868  0.3854
Dy  0.6237  0.2475  0.3866
Dy  0.0000  0.0000  0.0000
Dy  0.3763  0.7525  0.6134

---

Material: Pr2Dy4Sc
Method: DFT, PBE
State: relaxed

- crystal system = tetragonal

Lattice parameters (Å, degrees): 5.3752 5.3752 9.5011 106.43 106.43 90.00
Element x y z (fractional)
Dy  0.5000  0.0000  0.0000
Dy  0.0000  0.5000  0.0000
Dy  0.1741  0.1741  0.3482
Dy  0.8259  0.8259  0.6518
Sc  0.0000  0.0000  0.0000
Pr  0.3727  0.3727  0.7454
Pr  0.6273  0.6273  0.2546

---

Material: PrDy2Sc
Method: DFT, PBE
State: relaxed

- crystal system = trigonal

Lattice parameters (Å, degrees): 3.5275 3.5275 11.6010 81.26 81.26 60.00
Element x y z (fractional)
Sc  0.5000  0.5000  0.5000
Pr  0.0000  0.0000  0.0000
Dy  0.2454  0.2454  0.2638
Dy  0.7546  0.7546  0.7362

---

Material: Pr5Dy2Sc2
Method: DFT, PBE
State: relaxed

- crystal system = orthorhombic

Lattice parameters (Å, degrees): 8.5904 7.1828 11.1775 108.74 112.60 90.00
Element x y z (fractional)
Dy  0.0000  0.0384  0.0000
Dy  0.1921  0.2872  0.5000
Dy  0.8079  0.7872  0.5000
Dy  0.5000  0.5384  0.0000
Pr  0.1428  0.1792  0.7839
Pr  0.8572  0.3952  0.2161
Pr  0.4101  0.4474  0.3207
Pr  0.1412  0.6792  0.7839
Pr  0.5899  0.1267  0.6793
Pr  0.5894  0.6267  0.6793
Pr  0.2039  0.7872  0.5000
Pr  0.7961  0.2872  0.5000
Pr  0.8588  0.8952  0.2161
Pr  0.4106  0.9474  0.3207
Sc  0.5959  0.9990  0.9233
Sc  0.4041  0.0757  0.0767
Sc  0.1726  0.5757  0.0767
Sc  0.8274  0.4990  0.9233

---

Material: Pr3Dy2ScSe6
Method: DFT, PBE
State: relaxed

- crystal system = monoclinic
- energy relative to the elements, uncorrected (meV per atom) = -1767

Lattice parameters (Å, degrees): 4.0841 8.4084 9.3186 104.95 102.66 90.00
Element x y z (fractional)
Se  0.3293  0.4264  0.6586
Se  0.6577  0.0903  0.3154
Se  0.3423  0.9097  0.6846
Se  0.9980  0.7707  0.9959
Se  0.6707  0.5736  0.3414
Se  0.0020  0.2293  0.0041
Pr  0.1691  0.8356  0.3382
Pr  0.5000  0.5000  0.0000
Pr  0.8309  0.1644  0.6618
Sc  0.5000  0.0000  0.0000
Dy  0.8344  0.6681  0.6687
Dy  0.1656  0.3319  0.3313

---

Material: PrDySc2Se4
Method: DFT, PBE
State: relaxed

- crystal system = monoclinic
- energy relative to the elements, uncorrected (meV per atom) = -1677

Lattice parameters (Å, degrees): 3.9682 7.0697 6.9461 71.23 90.00 90.00
Element x y z (fractional)
Pr  0.5000  0.5000  0.0000
Se  0.0000  0.7765  0.7337
Se  0.5000  0.2291  0.7497
Se  0.0000  0.2235  0.2663
Se  0.5000  0.7709  0.2503
Sc  0.5000  0.0000  0.5000
Sc  0.0000  0.0000  0.0000
Dy  0.0000  0.5000  0.5000

---

Material: PrDy2ScSe4
Method: DFT, PBE
State: relaxed

- crystal system = monoclinic
- energy relative to the elements, uncorrected (meV per atom) = -1703

Lattice parameters (Å, degrees): 4.0321 7.1874 7.0307 108.83 90.00 90.00
Element x y z (fractional)
Pr  0.5000  0.5000  0.0000
Dy  0.5000  0.0000  0.5000
Dy  0.0000  0.5000  0.5000
Se  0.5000  0.2348  0.2454
Se  0.5000  0.7652  0.7546
Se  0.0000  0.2341  0.7440
Se  0.0000  0.7659  0.2560
Sc  0.0000  0.0000  0.0000

---

Material: Pr6SmDy2Sc
Method: DFT, PBE
State: relaxed

- crystal system = monoclinic

Lattice parameters (Å, degrees): 8.8462 6.9737 6.7637 121.03 100.80 90.00
Element x y z (fractional)
Pr  0.4003  0.6267  0.2534
Pr  0.8000  0.4059  0.3216
Pr  0.2000  0.0842  0.6784
Pr  0.5997  0.3733  0.7466
Pr  0.2000  0.5941  0.6784
Pr  0.8000  0.9158  0.3216
Sm  0.5000  0.0000  0.0000
Sc  0.0000  0.5000  0.0000
Dy  0.8406  0.9067  0.8134
Dy  0.1594  0.0933  0.1866

---

Material: Pr2Sm4DySc
Method: DFT, PBE
State: relaxed

- crystal system = monoclinic

Lattice parameters (Å, degrees): 5.0890 5.0790 11.3601 63.39 90.00 90.00
Element x y z (fractional)
Pr  0.0000  0.0000  0.0000
Pr  0.5000  0.0000  0.5000
Sc  0.0000  0.5000  0.5000
Dy  0.5000  0.5000  0.0000
Sm  0.0000  0.7553  0.7450
Sm  0.5000  0.2543  0.7458
Sm  0.5000  0.7457  0.2542
Sm  0.0000  0.2447  0.2550

---

Values of E_tot, in order: -4.98 -5.03 -5.07 -4.97 -4.35 -5.03 -4.88 -6.00 -6.17 -5.98 -4.66 -4.89, all in eV/atom.
Values of total moment, in order: 0.00 0.00 0.00 0.00 0.89 0.00 0.00 0.00 0.00 0.00 0.00 0.00, all in μB per formula unit.